A relaxed Sm3DyCo crystal. Source: Alexandria, functional PBE.

a = 5.374 Å, b = 5.374 Å, c = 5.374 Å
α = 90.00°, β = 90.00°, γ = 90.00°
Last column: magnetic moment on the atom in μB.
Sites, in units of the cell vectors:
Sm (0.500, 0.000, 0.000)  0.05
Sm (0.000, 0.500, 0.000)  0.05
Sm (0.000, 0.000, 0.500)  0.05
Dy (0.500, 0.500, 0.500)  0.22
Co (0.000, 0.000, 0.000)  0.07

Summary:
- Energy of formation: 0.077 eV per atom
- Uncorrected energy: -5.096 eV/atom